! Y2TmMgS4, optimized geometry, DFT PBE; values from VASP
! total magnetization	0.00	μB per formula unit
! energy	-49.7	eV per cell
! volume	161.8	Å³/cell
! SG	No. 10
! crystal system	monoclinic
! ΔE_f (raw)	-1780.0	meV/atom
&SYSTEM
  ibrav = 0, nat = 8, ntyp = 4
/
ATOMIC_SPECIES
S 32.06 S.upf
Y 88.91 Y.upf
Mg 24.30 Mg.upf
Tm 168.93 Tm.upf
CELL_PARAMETERS angstrom
3.814 0.000 0.000
0.000 6.659 0.129
0.000 -2.313 6.325
ATOMIC_POSITIONS crystal
S 0.500 0.764 0.769
S 0.500 0.236 0.231
S 0.000 0.246 0.764
S 0.000 0.754 0.236
Y 0.500 0.000 0.500
Y 0.000 0.500 0.500
Mg 0.000 0.000 0.000
Tm 0.500 0.500 0.000